[1]
The following is a PBE-GGA calculation of HoMgSb2 after structural relaxation, from the Alexandria database.

Output
The value obtained for the energy relative to the lowest polymorph listed for this composition is 0.069 eV/atom. The value obtained for the electronic total energy is -4.160 eV/atom.

Lattice parameters (Å, degrees): 4.335 4.335 20.891 90.00 90.00 120.00
Positions (direct):
Ho1 0.000 0.000 0.000
Ho2 0.333 0.667 0.667
Ho3 0.667 0.333 0.333
Mg1 0.000 0.000 0.500
Mg2 0.333 0.667 0.167
Mg3 0.667 0.333 0.833
Sb1 0.000 0.000 0.247
Sb2 0.000 0.000 0.753
Sb3 0.333 0.667 0.420
Sb4 0.333 0.667 0.913
Sb5 0.667 0.333 0.087
Sb6 0.667 0.333 0.580


[2]
The following is a PBE-GGA calculation of Ho2MgSb after structural relaxation, from the Alexandria database.

Output
The value obtained for the energy relative to the lowest polymorph listed for this composition is 0.000 eV/atom. The value obtained for the electronic total energy is -4.239 eV/atom.

Lattice parameters (Å, degrees): 3.960 3.960 6.684 90.00 90.00 90.00
Positions (direct):
Ho1 0.000 0.000 0.243
Ho2 0.000 0.000 0.757
Mg1 0.500 0.500 0.500
Sb1 0.500 0.500 0.000


[3]
The following is a PBE-GGA calculation of Ho2MgSb after structural relaxation, from the Alexandria database.

Output
The value obtained for the energy relative to the lowest polymorph listed for this composition is 0.156 eV/atom. The value obtained for the electronic total energy is -4.083 eV/atom.

Lattice parameters (Å, degrees): 4.093 4.093 25.400 90.00 90.00 120.00
Positions (direct):
Ho1 0.000 0.000 0.240
Ho2 0.000 0.000 0.760
Ho3 0.333 0.667 0.427
Ho4 0.333 0.667 0.906
Ho5 0.667 0.333 0.094
Ho6 0.667 0.333 0.573
Mg1 0.000 0.000 0.000
Mg2 0.333 0.667 0.667
Mg3 0.667 0.333 0.333
Sb1 0.000 0.000 0.500
Sb2 0.333 0.667 0.167
Sb3 0.667 0.333 0.833


V (computed, Å³/atom): 28.34; 26.21; 30.71
Uncorrected formation energy (computed, eV per atom): -0.5562; -0.5213; -0.3654